No. 1
Below is a crystal of AlSiSeBr2 relaxed with PBEsol, with properties calculated at the SCAN level.

Cell lengths 4.892, 4.892, 4.988 Å; angles 90.00, 90.00, 90.00 degrees
Last column: magnetic moment on the atom in μB.
Fractional positions:
Si: 0.500 0.500 0.500  0.25
Se: 0.000 0.000 0.500  -0.04
Br: 0.000 0.500 0.000  0.01
Br: 0.500 0.000 0.000  0.01
Al: 0.000 0.000 0.000  0.02

N(E_F), states/eV/atom: 0.311
Mass density, g cm⁻³: 4.087
Energy, eV/cell: -76.26
Crystal system: tetragonal
Calculated volume, Å³/cell: 119.40
Formation energy (no corrections), eV/f.u.: 0.51


No. 2
Below is a crystal of AlSnSe2Br relaxed with PBEsol, with properties calculated at the SCAN level.

Cell lengths 5.204, 5.204, 5.463 Å; angles 90.00, 90.00, 90.00 degrees
Fractional positions:
Se: 0.000 0.500 0.000
Se: 0.500 0.000 0.000
Sn: 0.000 0.000 0.000
Br: 0.000 0.000 0.500
Al: 0.500 0.500 0.500

N(E_F), states/eV/atom: 0.377
Mass density, g cm⁻³: 4.305
Energy, eV/cell: -102.58
Crystal system: tetragonal
Calculated volume, Å³/cell: 147.95
Formation energy (no corrections), eV/f.u.: 0.71


No. 3
Below is a crystal of SrAlSe2Br relaxed with PBEsol, with properties calculated at the SCAN level.

Cell lengths 4.972, 4.972, 5.051 Å; angles 90.00, 90.00, 90.00 degrees
Fractional positions:
Sr: 0.500 0.500 0.500
Se: 0.000 0.500 0.000
Se: 0.500 0.000 0.000
Br: 0.000 0.000 0.500
Al: 0.000 0.000 0.000

N(E_F), states/eV/atom: 0.179
Mass density, g cm⁻³: 4.687
Energy, eV/cell: -96.09
Crystal system: tetragonal
Calculated volume, Å³/cell: 124.86
Formation energy (no corrections), eV/f.u.: -6.45


No. 4
Below is a crystal of TaAlSeBr2 relaxed with PBEsol, with properties calculated at the SCAN level.

Cell lengths 4.964, 5.128, 5.128 Å; angles 90.00, 90.00, 90.00 degrees
Fractional positions:
Al: 0.500 0.500 0.500
Se: 0.500 0.000 0.000
Br: 0.000 0.000 0.500
Br: 0.000 0.500 0.000
Ta: 0.000 0.000 0.000

N(E_F), states/eV/atom: 0.448
Mass density, g cm⁻³: 5.682
Energy, eV/cell: -133.35
Crystal system: tetragonal
Calculated volume, Å³/cell: 130.55
Formation energy (no corrections), eV/f.u.: -0.01


No. 5
Below is a crystal of AlTlSeBr2 relaxed with PBEsol, with properties calculated at the SCAN level.

Cell lengths 5.280, 5.534, 5.534 Å; angles 90.00, 90.00, 90.00 degrees
Fractional positions:
Tl: 0.000 0.000 0.000
Se: 0.500 0.000 0.000
Br: 0.000 0.000 0.500
Br: 0.000 0.500 0.000
Al: 0.500 0.500 0.500

N(E_F), states/eV/atom: 0.529
Mass density, g cm⁻³: 4.828
Energy, eV/cell: -138.81
Crystal system: tetragonal
Calculated volume, Å³/cell: 161.71
Formation energy (no corrections), eV/f.u.: 0.30


No. 6
Below is a crystal of AlSiBr relaxed with PBEsol, with properties calculated at the SCAN level.

Cell lengths 3.457, 3.847, 5.922 Å; angles 108.95, 106.97, 90.00 degrees
Fractional positions:
Si: 0.432 0.432 0.865
Al: 0.904 0.904 0.808
Br: 0.664 0.664 0.328

N(E_F), states/eV/atom: 0.342
Distance to the lowest polymorph of the same formula, meV per atom: 0
Mass density, g cm⁻³: 3.163
Energy, eV/cell: -36.94
Crystal system: orthorhombic
Calculated volume, Å³/cell: 70.85
Formation energy (no corrections), eV/f.u.: 0.29


No. 7
Below is a crystal of AlSiBr relaxed with PBEsol, with properties calculated at the SCAN level.

Cell lengths 3.270, 3.254, 7.107 Å; angles 83.36, 76.70, 59.84 degrees
Fractional positions:
Si: 0.359 0.000 0.282
Al: 0.002 0.000 0.997
Br: 0.639 0.000 0.722

N(E_F), states/eV/atom: 0.273
Distance to the lowest polymorph of the same formula, meV per atom: 211
Mass density, g cm⁻³: 3.523
Energy, eV/cell: -36.31
Crystal system: orthorhombic
Calculated volume, Å³/cell: 63.63
Formation energy (no corrections), eV/f.u.: 0.92


No. 8
Below is a crystal of AlSiBr relaxed with PBEsol, with properties calculated at the SCAN level.

Cell lengths 3.265, 3.265, 6.882 Å; angles 90.00, 90.00, 120.00 degrees
Fractional positions:
Si: 0.667 0.333 0.266
Al: 0.000 0.000 0.997
Br: 0.333 0.667 0.738

N(E_F), states/eV/atom: 0.260
Distance to the lowest polymorph of the same formula, meV per atom: 23
Mass density, g cm⁻³: 3.527
Energy, eV/cell: -36.87
Crystal system: trigonal
Calculated volume, Å³/cell: 63.55
Formation energy (no corrections), eV/f.u.: 0.36